The following is a DFT calculation (PBE) of a relaxed structure of Li2NpCd2O6.

Cell lengths 5.7149, 5.7149, 5.4454 Å; angles 98.85, 98.85, 119.15 degrees
With the nearest neighbours (Å) after each atom.
Fractional positions:
Li (0.1535, 0.8465, 0.0000)  4 O 2.13-2.20
Li (0.8465, 0.1535, 0.0000)  4 O 2.13-2.20
Np (0.0000, 0.0000, 0.5000)  6 O 2.07-2.11
Cd (0.3379, 0.6621, 0.5000)  6 O 2.31-2.42
Cd (0.6621, 0.3379, 0.5000)  6 O 2.31-2.42
O (0.0496, 0.3595, 0.7337)  1 Np 2.11, 1 Li 2.13, 1 Cd 2.31
O (0.2203, 0.2203, 0.2629)  1 Np 2.07, 2 Li 2.20
O (0.3595, 0.0496, 0.7337)  1 Np 2.11, 1 Li 2.13, 1 Cd 2.31
O (0.6405, 0.9504, 0.2663)  1 Np 2.11, 1 Li 2.13, 1 Cd 2.31
O (0.7797, 0.7797, 0.7371)  1 Np 2.07, 2 Li 2.20
O (0.9504, 0.6405, 0.2663)  1 Np 2.11, 1 Li 2.13, 1 Cd 2.31

* magnetization: 0.09 μB per atom
* ΔE_f (raw): -1998.2 kJ/mol of formula units
* crystal system: monoclinic